{"formula": "Sr2ZrAg", "functional": "PBE", "state": "optimized geometry", "lattice": [[-4.676, -0.570, 4.438], [-3.700, -5.293, -0.425], [6.349, 1.255, 0.054]], "species": ["Zr", "Ag", "Sr", "Sr"], "fractional_positions": [[0.500, 0.500, 0.000], [0.750, 0.250, 0.500], [0.000, 0.000, 0.000], [0.250, 0.750, 0.500]], "m_tot_mub_per_cell": 2.78, "n_ef_per_ev_cell": 5.947, "ef_ev_per_atom": 0.48, "relative_energy_mev_per_atom": 305.6}